Entry a
First-principles (meta-GGA SCAN) data for a crystal of PWIN2 relaxed with PBEsol, as listed in Alexandria via LeMat-Bulk.

Calculated values
- Spin magnetization: 1.4 Bohr magnetons per cell
- Space-group type: P4/mmm
- Fermi-level density of states: 1.85 states/eV per cell

a = 3.9108 Å, b = 3.9108 Å, c = 5.6985 Å
α = 90.00°, β = 90.00°, γ = 90.00°
Last column: nearest neighbours and their distance in Å.
Fractional positions:
P 0.0000 0.0000 0.0000  4 I 2.77
W 0.5000 0.5000 0.5000  4 N 1.96
I 0.5000 0.5000 0.0000  4 P 2.77, 2 W 2.85
N 0.0000 0.5000 0.5000  2 W 1.96
N 0.5000 0.0000 0.5000  2 W 1.96



Entry b
First-principles (meta-GGA SCAN) data for a crystal of PWIN2 relaxed with PBEsol, as listed in Alexandria via LeMat-Bulk.

Calculated values
- Spin magnetization: 2.8 Bohr magnetons per cell
- Space-group type: P4/mmm
- Fermi-level density of states: 3.53 states/eV per cell

a = 3.6155 Å, b = 3.6155 Å, c = 6.4091 Å
α = 90.00°, β = 90.00°, γ = 90.00°
Last column: nearest neighbours and their distance in Å.
Fractional positions:
P 0.0000 0.0000 0.0000  4 N 1.81
W 0.5000 0.5000 0.5000  4 I 2.56
I 0.0000 0.0000 0.5000  4 W 2.56
N 0.0000 0.5000 0.0000  2 P 1.81
N 0.5000 0.0000 0.0000  2 P 1.81



Stability check: which of them is least stable? entry b.



Entry a
First-principles (meta-GGA SCAN) data for a crystal of PdS2IN relaxed with PBEsol, as listed in Alexandria via LeMat-Bulk.

Calculated values
- Spin magnetization: 0.0 Bohr magnetons per cell
- Space-group type: P4/mmm
- Fermi-level density of states: 3.63 states/eV per cell

a = 4.9167 Å, b = 4.9167 Å, c = 3.6802 Å
α = 90.00°, β = 90.00°, γ = 90.00°
Last column: nearest neighbours and their distance in Å.
Fractional positions:
Pd 0.0000 0.0000 0.0000  2 N 1.84
S 0.0000 0.5000 0.0000  2 Pd 2.46
S 0.5000 0.0000 0.0000  2 Pd 2.46
I 0.5000 0.5000 0.5000  8 S 3.07
N 0.0000 0.0000 0.5000  2 Pd 1.84



Entry b
First-principles (meta-GGA SCAN) data for a crystal of PdS2IN relaxed with PBEsol, as listed in Alexandria via LeMat-Bulk.

Calculated values
- Spin magnetization: 1.7 Bohr magnetons per cell
- Space-group type: P4/mmm
- Fermi-level density of states: 3.47 states/eV per cell

a = 5.0533 Å, b = 5.0533 Å, c = 3.8192 Å
α = 90.00°, β = 90.00°, γ = 90.00°
Last column: nearest neighbours and their distance in Å.
Fractional positions:
Pd 0.0000 0.0000 0.0000  8 S 3.17
S 0.0000 0.5000 0.5000  2 I 2.53
S 0.5000 0.0000 0.5000  2 I 2.53
I 0.5000 0.5000 0.5000  2 N 1.91
N 0.5000 0.5000 0.0000  2 I 1.91



Stability check: which of them is least stable? entry b.